## Rb3TcGe (PBE)

Data for Rb3TcGe after structural relaxation.

The relative energy among the computed polymorphs comes out at 0.000 eV per atom. Its formation energy is 1274 meV per atom.

It has space group Pm-3m (No. 221), with a = 6.802 Å, b = 6.802 Å, c = 6.802 Å, α = 90.00°, β = 90.00° and γ = 90.00°. Symmetry generates all atoms from Rb at (0.000, 0.000, 0.500), Tc at (0.500, 0.500, 0.500) and Ge at (0.000, 0.000, 0.000).

## RbTc3Ge (PBE)

Data for RbTc3Ge after structural relaxation.

The relative energy among the computed polymorphs comes out at 1.659 eV per atom. Its formation energy is 3244 meV per atom.

It has space group Pm-3m (No. 221), with a = 4.779 Å, b = 4.779 Å, c = 4.779 Å, α = 90.00°, β = 90.00° and γ = 90.00°. Symmetry generates all atoms from Rb at (0.000, 0.000, 0.000), Tc at (0.000, 0.000, 0.500) and Ge at (0.500, 0.500, 0.500).

## Rb2TcGe (PBE)

Data for Rb2TcGe after structural relaxation.

Its formation energy is 728 meV per atom.

It has space group I-42d (No. 122), with a = 13.618 Å, b = 13.618 Å, c = 4.740 Å, α = 90.00°, β = 90.00° and γ = 90.00°. Symmetry generates all atoms from Rb at (0.005, 0.250, 0.125), Tc at (0.000, 0.000, 0.000) and Ge at (0.000, 0.000, 0.500).

## RbTc2GeTe (PBE)

Data for RbTc2GeTe after structural relaxation.

The raw formation energy is 1.35 eV per atom.

It has space group P4/mmm (No. 123), with a = 5.045 Å, b = 5.045 Å, c = 5.715 Å, α = 90.00°, β = 90.00° and γ = 90.00°. Symmetry generates all atoms from Rb at (0.000, 0.000, 0.000), Tc at (0.000, 0.500, 0.500), Ge at (0.500, 0.500, 0.000) and Te at (0.500, 0.500, 0.500).

## RbTl2TcGe (PBE)

Data for RbTl2TcGe after structural relaxation.

Its formation energy is 59 meV per atom.

It has space group P4/mmm (No. 123), with a = 5.438 Å, b = 5.438 Å, c = 4.894 Å, α = 90.00°, β = 90.00° and γ = 90.00°. Symmetry generates all atoms from Rb at (0.000, 0.000, 0.000), Tl at (0.000, 0.500, 0.500), Tc at (0.500, 0.500, 0.500) and Ge at (0.500, 0.500, 0.000).

## RbZrTcGe2 (PBE)

Data for RbZrTcGe2 after structural relaxation.

Its formation energy is 1501 meV per atom.

It has space group P4/mmm (No. 123), with a = 5.238 Å, b = 5.238 Å, c = 5.910 Å, α = 90.00°, β = 90.00° and γ = 90.00°. Symmetry generates all atoms from Rb at (0.000, 0.000, 0.000), Zr at (0.000, 0.000, 0.500), Tc at (0.500, 0.500, 0.000) and Ge at (0.000, 0.500, 0.500).

## Rb2Ge2Te7 (PBE)

Data for Rb2Ge2Te7 after structural relaxation.

The raw formation energy is -0.18 eV per atom.

It has space group C2/m (No. 12), with a = 13.360 Å, b = 10.418 Å, c = 8.383 Å, α = 90.00°, β = 128.00° and γ = 90.00°. Symmetry generates all atoms from Rb at (0.000, 0.238, 0.000), Ge at (0.219, 0.000, 0.898), Te at (0.000, 0.000, 0.500), Te at (0.149, 0.363, 0.756) and Te at (0.218, 0.500, 0.343).

## RbGe2Te2 (PBE)

Data for RbGe2Te2 after structural relaxation.

The relative energy among the computed polymorphs comes out at 0.155 eV per atom. The raw formation energy is -0.16 eV per atom.

It has space group I4/mmm (No. 139), with a = 5.300 Å, b = 5.300 Å, c = 13.220 Å, α = 90.00°, β = 90.00° and γ = 90.00°. Symmetry generates all atoms from Rb at (0.000, 0.000, 0.000), Ge at (0.000, 0.500, 0.250) and Te at (0.000, 0.000, 0.346).

## Rb3GeTe (PBE)

Data for Rb3GeTe after structural relaxation.

The relative energy among the computed polymorphs comes out at 0.000 eV per atom. The raw formation energy is -0.17 eV per atom.

It has space group Pm-3m (No. 221), with a = 6.958 Å, b = 6.958 Å, c = 6.958 Å, α = 90.00°, β = 90.00° and γ = 90.00°. Symmetry generates all atoms from Rb at (0.000, 0.000, 0.500), Ge at (0.500, 0.500, 0.500) and Te at (0.000, 0.000, 0.000).

## RbGe3Te3 (PBE)

Data for RbGe3Te3 after structural relaxation.

The raw formation energy is -0.11 eV per atom.

It has space group R-3 (No. 148, hexagonal axes), with a = 9.2940 Å, b = 9.2940 Å, c = 19.6797 Å, α = 90.00°, β = 90.00° and γ = 120.00°. Symmetry generates all atoms from Rb at (0.0000, 0.0000, 0.1667), Ge at (0.0069, 0.6481, 0.7238) and Te at (0.0135, 0.2818, 0.4091).

## Rb2Ge2Te3 (PBE)

Data for Rb2Ge2Te3 after structural relaxation.

The relative energy among the computed polymorphs comes out at 0.010 eV per atom. The raw formation energy is -0.48 eV per atom.

It has space group P2_1/c (No. 14), with a = 7.863 Å, b = 9.037 Å, c = 9.172 Å, α = 90.00°, β = 114.89° and γ = 90.00°. Symmetry generates all atoms from Rb at (0.205, 0.173, 0.396), Ge at (0.347, 0.621, 0.552), Te at (0.000, 0.000, 0.000) and Te at (0.390, 0.580, 0.255).

## Rb5GeTe6 (PBE)

Data for Rb5GeTe6 after structural relaxation.

The raw formation energy is -0.46 eV per atom.

It has space group C2/m (No. 12), with a = 9.006 Å, b = 15.494 Å, c = 8.699 Å, α = 90.00°, β = 112.37° and γ = 90.00°. Symmetry generates all atoms from Rb at (0.000, 0.000, 0.000), Rb at (0.000, 0.163, 0.500), Rb at (0.000, 0.317, 0.000), Ge at (0.000, 0.500, 0.500), Te at (0.171, 0.500, 0.300) and Te at (0.194, 0.368, 0.699).

Number 1: raw total energy -2.303 eV per atom. Number 2: raw total energy -4.092 eV per atom. Number 3: raw total energy -3.502 eV per atom. Number 4: raw total energy -4.546 eV per atom. Number 5: raw total energy -4.077 eV per atom. Number 6: raw total energy -4.322 eV per atom. Number 7: raw total energy -3.200 eV per atom. Number 8: raw total energy -3.453 eV per atom. Number 9: raw total energy -2.305 eV per atom. Number 10: raw total energy -3.572 eV per atom. Number 11: raw total energy -3.418 eV per atom. Number 12: raw total energy -2.818 eV per atom.